# 1
Computed, not measured: a relaxed Ba2YP crystal at the PBE-GGA level of DFT.

a b c (Å): 3.9634 3.9634 9.8811
angles (deg): 90.00 90.00 90.00
Last column: nearest neighbours and their distance in Å.
Fractional positions:
Ba 0.0000 0.0000 0.8272  4 P 3.28, 1 Ba 3.42
Ba 0.0000 0.0000 0.1728  4 P 3.28, 1 Ba 3.42
Y 0.5000 0.5000 0.5000  4 Y 3.96, 8 Ba 4.28
P 0.5000 0.5000 0.0000  8 Ba 3.28

Calculated values
For the calculated formation energy, the calculation gives -0.27 eV/atom. Its electronic total energy is -16.8 eV per formula unit. As for the space-group type: No. 123.

***

# 2
Computed, not measured: a relaxed BaYP crystal at the PBE-GGA level of DFT.

a b c (Å): 4.1969 4.1969 7.2539
angles (deg): 90.00 90.00 120.00
Last column: nearest neighbours and their distance in Å.
Fractional positions:
Ba 0.0000 0.0000 0.0800  3 P 3.21
Y 0.3333 0.6667 0.5499  3 P 2.75
P 0.6667 0.3333 0.3701  3 Y 2.75

Calculated values
For the calculated formation energy, the calculation gives -0.81 eV/atom. For the distance to the lowest polymorph of the same formula, the calculation gives 0 kJ/mol of formula units. Its electronic total energy is -16.2 eV per formula unit. As for the space-group type: No. 156.

***

# 3
Computed, not measured: a relaxed BaYP2 crystal at the PBE-GGA level of DFT.

a b c (Å): 3.8184 3.8173 7.7299
angles (deg): 60.61 90.00 90.00
Last column: nearest neighbours and their distance in Å.
Fractional positions:
Ba 0.5000 0.7500 0.7500  2 Y 3.37, 8 P 3.44-3.45
P 0.0000 0.9315 0.0680  1 P 2.45
P 0.0000 0.5685 0.4320  1 P 2.45
Y 0.5000 0.2500 0.2500  8 P 2.96-2.97

Calculated values
For the calculated formation energy, the calculation gives -0.93 eV/atom. For the distance to the lowest polymorph of the same formula, the calculation gives 62 kJ/mol of formula units. Its electronic total energy is -22.9 eV per formula unit. As for the space-group type: No. 10.

***

# 4
Computed, not measured: a relaxed Ba2YP crystal at the PBE-GGA level of DFT.

a b c (Å): 7.4477 7.4477 7.4477
angles (deg): 149.00 132.81 57.53
Last column: nearest neighbours and their distance in Å.
Fractional positions:
Ba 0.9910 0.9910 0.0000  4 P 3.61, 4 Ba 3.72-3.98, 2 Y 3.76
Ba 0.3207 0.8207 0.5000  2 P 3.29
Y 0.6664 0.1664 0.5000  2 P 2.74
P 0.5218 0.5218 0.0000  2 Y 2.74

Calculated values
For the calculated formation energy, the calculation gives -0.48 eV/atom. Its electronic total energy is -17.6 eV per formula unit. As for the space-group type: No. 44.

***

# 5
Computed, not measured: a relaxed BaYP2 crystal at the PBE-GGA level of DFT.

a b c (Å): 7.2315 7.2315 4.0870
angles (deg): 97.26 97.26 32.23
Last column: nearest neighbours and their distance in Å.
Fractional positions:
Ba 0.2169 0.2169 0.1426  5 P 3.20-3.37
P 0.9825 0.9825 0.0581  1 P 2.32
P 0.8336 0.8336 0.7290  1 P 2.32
Y 0.4670 0.4670 0.5703  6 P 2.82-2.93

Calculated values
For the calculated formation energy, the calculation gives -0.92 eV/atom. For the distance to the lowest polymorph of the same formula, the calculation gives 64 kJ/mol of formula units. Its electronic total energy is -22.9 eV per formula unit. As for the space-group type: No. 8.

***

# 6
Computed, not measured: a relaxed BaYP2 crystal at the PBE-GGA level of DFT.

a b c (Å): 6.5515 6.5515 8.4585
angles (deg): 67.22 67.22 90.00
Last column: nearest neighbours and their distance in Å.
Fractional positions:
Y 0.5000 0.5000 0.0000  4 P 2.70
Y 0.2500 0.7500 0.5000  4 P 2.70
P 0.5620 0.1250 0.2500  2 Y 2.70
P 0.1880 0.6250 0.2500  2 Y 2.70
P 0.3750 0.4380 0.7500  2 Y 2.70
P 0.8750 0.8120 0.7500  2 Y 2.70
Ba 0.0000 0.0000 0.0000  4 P 3.17
Ba 0.7500 0.2500 0.5000  4 P 3.17

Calculated values
For the calculated formation energy, the calculation gives -0.71 eV/atom. For the distance to the lowest polymorph of the same formula, the calculation gives 146 kJ/mol of formula units. Its electronic total energy is -22.1 eV per formula unit. As for the space-group type: No. 122.

***

# 7
Computed, not measured: a relaxed BaYP2 crystal at the PBE-GGA level of DFT.

a b c (Å): 4.8614 5.6355 3.7552
angles (deg): 90.00 90.00 90.00
Last column: nearest neighbours and their distance in Å.
Fractional positions:
Ba 0.0000 0.5000 0.5000  8 P 3.07-3.39
P 0.0000 0.0000 0.0000  4 Y 3.07, 4 Ba 3.39
P 0.5000 0.5000 0.0000  4 Ba 3.07, 4 Y 3.39
Y 0.5000 0.0000 0.5000  8 P 3.07-3.39

Calculated values
For the calculated formation energy, the calculation gives -0.67 eV/atom. For the distance to the lowest polymorph of the same formula, the calculation gives 163 kJ/mol of formula units. Its electronic total energy is -21.9 eV per formula unit. As for the space-group type: No. 47.

***

# 8
Computed, not measured: a relaxed BaYP crystal at the PBE-GGA level of DFT.

a b c (Å): 5.1675 5.1675 5.1675
angles (deg): 60.00 60.00 60.00
Last column: nearest neighbours and their distance in Å.
Fractional positions:
Ba 0.2500 0.2500 0.2500  4 P 3.16, 4 Y 3.16
Y 0.5000 0.5000 0.5000  4 Ba 3.16
P 0.0000 0.0000 0.0000  4 Ba 3.16

Calculated values
For the calculated formation energy, the calculation gives 0.51 eV/atom. For the distance to the lowest polymorph of the same formula, the calculation gives 383 kJ/mol of formula units. Its electronic total energy is -12.3 eV per formula unit. As for the space-group type: No. 216.

***

Number 7 is which compound? BaYP2

***

Which of these has the highest electronic total energy? number 8

***

Copy entry 1 word for word.
Computed, not measured: a relaxed Ba2YP crystal at the PBE-GGA level of DFT.

a b c (Å): 3.9634 3.9634 9.8811
angles (deg): 90.00 90.00 90.00
Last column: nearest neighbours and their distance in Å.
Fractional positions:
Ba 0.0000 0.0000 0.8272  4 P 3.28, 1 Ba 3.42
Ba 0.0000 0.0000 0.1728  4 P 3.28, 1 Ba 3.42
Y 0.5000 0.5000 0.5000  4 Y 3.96, 8 Ba 4.28
P 0.5000 0.5000 0.0000  8 Ba 3.28

Calculated values
For the calculated formation energy, the calculation gives -0.27 eV/atom. Its electronic total energy is -16.8 eV per formula unit. As for the space-group type: No. 123.